1.
The following is a PBE-GGA calculation of a relaxed structure of SnTe2IO, from Alexandria via LeMat-Bulk.

Results
- ΔE_f (raw): 6.59 eV/f.u.
- Polymorph energy (0 for the lowest one): 1332 meV per atom
- Total magnetic moment: 0.00 μB per formula unit
- D(E_F): 3.50 states/eV per atom

Cell lengths 5.8241, 5.8241, 6.0434 Å; angles 90.00, 90.00, 90.00 degrees
Atoms (fractional coordinates):
Sn  0.0000  0.0000  0.0000
Te  0.0000  0.5000  0.5000
Te  0.5000  0.0000  0.5000
I  0.0000  0.0000  0.5000
O  0.5000  0.5000  0.0000

=====

2.
The following is a PBE-GGA calculation of a relaxed structure of Zn2PtPb, from Alexandria via LeMat-Bulk.

Results
- Formation enthalpy at 0 K: -0.14 eV per formula unit
- Total magnetic moment: 0.00 μB per formula unit
- D(E_F): 0.30 states/eV per atom

Cell lengths 3.0897, 5.4979, 9.3773 Å; angles 90.00, 90.00, 90.00 degrees
Atoms (fractional coordinates):
Zn  0.0000  0.0000  0.2200
Zn  0.0000  0.0000  0.7800
Zn  0.5000  0.5000  0.2800
Zn  0.5000  0.5000  0.7200
Pt  0.0000  0.5000  0.5000
Pt  0.5000  0.0000  0.0000
Pb  0.0000  0.5000  0.0000
Pb  0.5000  0.0000  0.5000

=====

3.
The following is a PBE-GGA calculation of a relaxed structure of Th4IrS5, from Alexandria via LeMat-Bulk.

Results
- ΔE_f (raw): -17.04 eV/f.u.
- Total magnetic moment: 0.00 μB per formula unit
- D(E_F): 0.30 states/eV per atom

Cell lengths 9.3980, 9.3980, 9.3980 Å; angles 154.39, 131.76, 55.41 degrees
Atoms (fractional coordinates):
Th  0.1939  0.1939  0.0000
Th  0.2395  0.5000  0.7395
Th  0.7605  0.5000  0.2605
Th  0.8061  0.8061  0.0000
Ir  0.0000  0.0000  0.0000
S  0.0760  0.3284  0.7477
S  0.4193  0.6716  0.7477
S  0.5000  0.0000  0.5000
S  0.5807  0.3284  0.2523
S  0.9240  0.6716  0.2523